Density functional theory data (PBE-GGA) for an optimized crystal structure of Nd7TmCd2.

Summary:
As for the total magnetic moment: 0.0 μB per formula unit. The final energy is -3.595 eV per atom. As for the density: 5.90 g/cm³. The formation enthalpy at 0 K comes out at 360 kJ/mol of formula units.

a = 5.3179 Å, b = 9.3485 Å, c = 9.3485 Å
α = 121.85°, β = 90.00°, γ = 90.00°
Fractional coordinates of all 10 atoms:
1 Nd 0.0000 0.7797 0.2203
2 Nd 0.0000 0.2203 0.7797
3 Nd 0.5000 0.0676 0.2991
4 Nd 0.5000 0.9324 0.7009
5 Nd 0.5000 0.2991 0.0676
6 Nd 0.5000 0.7009 0.9324
7 Nd 0.5000 0.5000 0.5000
8 Tm 0.0000 0.0000 0.0000
9 Cd 0.5000 0.6962 0.3038
10 Cd 0.5000 0.3038 0.6962